(1)
The following is a PBE-GGA calculation of KNaTe2Au2 after structural relaxation, from OQMD via LeMat-Bulk.

Cell: 4.7284 4.7284 9.1054 Å, 90.00 90.00 120.00°
Fractional coordinates of all 6 atoms:
1 Te 0.3333 0.6667 0.2327
2 Te 0.6667 0.3333 0.7673
3 K 0.0000 0.0000 0.5000
4 Au 0.6667 0.3333 0.2234
5 Au 0.3333 0.6667 0.7766
6 Na 0.0000 0.0000 0.0000

Summary:
Total DFT energy (no corrections) ... -3.152 eV per atom

(2)
The following is a PBE-GGA calculation of K19Na6Tl24Au after structural relaxation, from OQMD via LeMat-Bulk.

Cell: 11.6334 19.4452 19.4452 Å, 120.00 90.00 90.00°
Fractional coordinates of all 100 atoms:
1 K 0.3252 0.1275 0.0000
2 K 0.1804 0.3533 0.5408
3 K 0.8196 0.1875 0.6467
4 K 0.0000 0.5619 0.6808
5 K 0.6748 0.1275 0.0000
6 K 0.8196 0.6467 0.1875
7 K 0.0000 0.4381 0.1189
8 K 0.8196 0.4592 0.8124
9 K 0.8196 0.5408 0.3533
10 K 0.0000 0.1743 0.0000
11 K 0.3252 0.0000 0.1275
12 K 0.5000 0.6512 0.1189
13 K 0.8196 0.3533 0.5408
14 K 0.5000 0.7722 0.0000
15 K 0.0000 0.8812 0.3192
16 K 0.0000 0.3192 0.8812
17 K 0.5000 0.1189 0.6512
18 K 0.8196 0.8124 0.4592
19 K 0.5000 0.4677 0.3488
20 K 0.0000 0.6808 0.5619
21 K 0.5000 0.3488 0.4677
22 K 0.3252 0.8725 0.8725
23 K 0.5000 0.5323 0.8811
24 K 0.0000 0.8258 0.8258
25 K 0.1804 0.4592 0.8124
26 K 0.5000 0.0000 0.7722
27 K 0.0000 0.0000 0.1743
28 K 0.6748 0.8725 0.8725
29 K 0.0000 0.1189 0.4381
30 K 0.5000 0.6667 0.3333
31 K 0.5000 0.2278 0.2278
32 K 0.5000 0.8811 0.5323
33 K 0.5000 0.3333 0.6667
34 K 0.1804 0.8124 0.4592
35 K 0.6748 0.0000 0.1275
36 K 0.1804 0.6467 0.1875
37 K 0.1804 0.5408 0.3533
38 K 0.1804 0.1875 0.6467
39 Tl 0.0000 0.0000 0.5487
40 Tl 0.1390 0.8202 0.0000
41 Tl 0.3613 0.8345 0.3198
42 Tl 0.5000 0.9024 0.2162
43 Tl 0.5000 0.2162 0.9024
44 Tl 0.2318 0.6488 0.0000
45 Tl 0.5000 0.6862 0.7838
46 Tl 0.6387 0.6802 0.5146
47 Tl 0.7682 0.0000 0.6488
48 Tl 0.7352 0.6755 0.6755
49 Tl 0.5000 0.7838 0.6862
50 Tl 0.2318 0.3512 0.3512
51 Tl 0.2318 0.0000 0.6488
52 Tl 0.0000 0.6476 0.9023
53 Tl 0.0000 0.4513 0.4513
54 Tl 0.6387 0.1656 0.4854
55 Tl 0.7352 0.3245 0.0000
56 Tl 0.8610 0.1798 0.1798
57 Tl 0.6387 0.3198 0.8345
58 Tl 0.5000 0.0976 0.3138
59 Tl 0.3613 0.4854 0.1656
60 Tl 0.3613 0.6802 0.5146
61 Tl 0.5000 0.0000 0.4271
62 Tl 0.3613 0.1656 0.4854
63 Tl 0.2648 0.3245 0.0000
64 Tl 0.6387 0.4854 0.1656
65 Tl 0.0000 0.0977 0.7453
66 Tl 0.0000 0.9023 0.6476
67 Tl 0.6387 0.5146 0.6802
68 Tl 0.7682 0.6488 0.0000
69 Tl 0.0000 0.3524 0.2547
70 Tl 0.6387 0.8345 0.3198
71 Tl 0.8610 0.0000 0.8202
72 Tl 0.1390 0.0000 0.8202
73 Tl 0.2648 0.6755 0.6755
74 Tl 0.7682 0.3512 0.3512
75 Tl 0.0000 0.2547 0.3524
76 Tl 0.5000 0.5729 0.5729
77 Tl 0.2648 0.0000 0.3245
78 Tl 0.8610 0.8202 0.0000
79 Tl 0.0000 0.7453 0.0977
80 Tl 0.5000 0.3138 0.0976
81 Tl 0.5000 0.4271 0.0000
82 Tl 0.3613 0.3198 0.8345
83 Tl 0.7352 0.0000 0.3245
84 Tl 0.1390 0.1798 0.1798
85 Tl 0.3613 0.5146 0.6802
86 Tl 0.0000 0.5487 0.0000
87 Na 0.7512 0.8403 0.6678
88 Na 0.2488 0.3322 0.1726
89 Na 0.2488 0.8403 0.6678
90 Na 0.7512 0.1597 0.8274
91 Na 0.2488 0.6678 0.8403
92 Na 0.7512 0.6678 0.8403
93 Na 0.2488 0.8274 0.1597
94 Na 0.7512 0.1726 0.3322
95 Na 0.2488 0.1597 0.8274
96 Na 0.7512 0.3322 0.1726
97 Na 0.2488 0.1726 0.3322
98 Na 0.7512 0.8274 0.1597
99 Au 0.0000 0.6666 0.3333
100 Au 0.0000 0.3333 0.6666

Summary:
Total DFT energy (no corrections) ... -1.895 eV per atom

(3)
The following is a PBE-GGA calculation of KNbAu after structural relaxation, from OQMD via LeMat-Bulk.

Cell: 5.1366 5.1366 5.1366 Å, 60.00 60.00 60.00°
Fractional coordinates of all 3 atoms:
1 Nb 0.7500 0.7500 0.7500
2 Au 0.2500 0.2500 0.2500
3 K 0.0000 0.0000 0.0000

Summary:
Total DFT energy (no corrections) ... -3.085 eV per atom